# CsNpPb2O6 (PBE, optimized geometry)
# - energy relative to the elements, uncorrected (kJ per mole of atoms) = -181.6
# - final energy (eV/cell) = -209.35
data_CsNpPb2O6
_space_group_name_H-M_alt 'R 3'
_space_group_IT_number 146
_space_group_name_Hall 'R 3'
_cell_length_a 6.2433
_cell_length_b 6.2433
_cell_length_c 18.4394
_cell_angle_alpha 90.00
_cell_angle_beta 90.00
_cell_angle_gamma 120.00
loop_
_atom_site_label
_atom_site_fract_x
_atom_site_fract_y
_atom_site_fract_z
_atom_site_occupancy
Cs1 0.0000 0.0000 0.0000 1
Np1 0.0000 0.0000 0.4551 1
Pb1 0.0000 0.0000 0.2422 1
Pb2 0.0000 0.0000 0.7873 1
O1 0.0394 0.5817 0.0569 1
O2 0.0899 0.3640 0.1819 1

# CsNpPb2O8 (PBE, optimized geometry)
# - energy relative to the elements, uncorrected (kJ per mole of atoms) = -148.3
# - final energy (eV/cell) = -79.32
data_CsNpPb2O8
_space_group_name_H-M_alt 'P -1'
_space_group_IT_number 2
_space_group_name_Hall '-P 1'
_cell_length_a 5.030
_cell_length_b 5.710
_cell_length_c 8.491
_cell_angle_alpha 90.01
_cell_angle_beta 90.08
_cell_angle_gamma 90.71
loop_
_atom_site_label
_atom_site_fract_x
_atom_site_fract_y
_atom_site_fract_z
_atom_site_occupancy
Cs1 0.000 0.000 0.000 1
Np1 0.000 0.000 0.500 1
Pb1 0.500 0.499 0.307 1
O1 0.128 0.500 0.000 1
O2 0.190 0.843 0.333 1
O3 0.191 0.843 0.667 1
O4 0.285 0.316 0.500 1

# CsNpPdO6 (PBE, optimized geometry)
# - energy relative to the elements, uncorrected (kJ per mole of atoms) = -162.0
# - final energy (eV/cell) = -255.38
data_CsNpPdO6
_space_group_name_H-M_alt 'I m m a'
_space_group_IT_number 74
_space_group_name_Hall '-I 2b 2'
_cell_length_a 7.317
_cell_length_b 7.858
_cell_length_c 10.597
_cell_angle_alpha 90.00
_cell_angle_beta 90.00
_cell_angle_gamma 90.00
loop_
_atom_site_label
_atom_site_fract_x
_atom_site_fract_y
_atom_site_fract_z
_atom_site_occupancy
Cs1 0.000 0.250 0.117 1
Np1 0.000 0.000 0.500 1
Pd1 0.250 0.250 0.750 1
O1 0.000 0.250 0.425 1
O2 0.000 0.250 0.825 1
O3 0.192 0.066 0.623 1

# Cs2Np3PdO12 (PBE, optimized geometry)
# - energy relative to the elements, uncorrected (kJ per mole of atoms) = -219.1
# - final energy (eV/cell) = -438.31
data_Cs2Np3PdO12
_space_group_name_H-M_alt 'R -3 m'
_space_group_IT_number 166
_space_group_name_Hall '-R 3 2"'
_cell_length_a 7.9373
_cell_length_b 7.9373
_cell_length_c 18.1972
_cell_angle_alpha 90.00
_cell_angle_beta 90.00
_cell_angle_gamma 120.00
loop_
_atom_site_label
_atom_site_fract_x
_atom_site_fract_y
_atom_site_fract_z
_atom_site_occupancy
Cs1 0.0000 0.0000 0.1247 1
Np1 0.0000 0.5000 0.0000 1
Pd1 0.0000 0.0000 0.5000 1
O1 0.0738 0.5369 0.1019 1
O2 0.0778 0.5389 0.3559 1

# Cs2NpPdO6 (PBE, optimized geometry)
# - energy relative to the elements, uncorrected (kJ per mole of atoms) = -173.1
# - final energy (eV/cell) = -135.05
data_Cs2NpPdO6
_space_group_name_H-M_alt 'I 4/m m m'
_space_group_IT_number 139
_space_group_name_Hall '-I 4 2'
_cell_length_a 5.775
_cell_length_b 5.775
_cell_length_c 11.427
_cell_angle_alpha 90.00
_cell_angle_beta 90.00
_cell_angle_gamma 90.00
loop_
_atom_site_label
_atom_site_fract_x
_atom_site_fract_y
_atom_site_fract_z
_atom_site_occupancy
Cs1 0.000 0.500 0.250 1
Np1 0.000 0.000 0.000 1
Pd1 0.000 0.000 0.500 1
O1 0.000 0.000 0.166 1
O2 0.242 0.242 0.500 1

# Cs2PmNpO6 (PBE, optimized geometry)
# - energy relative to the elements, uncorrected (kJ per mole of atoms) = -248.0
# - final energy (eV/cell) = -74.85
data_Cs2PmNpO6
_space_group_name_H-M_alt 'P -1'
_space_group_IT_number 2
_space_group_name_Hall '-P 1'
_cell_length_a 6.250
_cell_length_b 6.265
_cell_length_c 6.280
_cell_angle_alpha 90.39
_cell_angle_beta 119.59
_cell_angle_gamma 119.86
loop_
_atom_site_label
_atom_site_fract_x
_atom_site_fract_y
_atom_site_fract_z
_atom_site_occupancy
Cs1 0.000 0.250 0.250 1
Pm1 0.500 0.000 0.500 1
Np1 0.500 0.500 0.000 1
O1 0.039 0.269 0.770 1
O2 0.499 0.270 0.230 1
O3 0.499 0.731 0.230 1